Entry 1:
# Tm4HgPd3, relaxed, DFT PBE-GGA
data_Tm4HgPd3
_chemical_formula_sum 'Tm8 Hg2 Pd6'
_cell_length_a 4.9697
_cell_length_b 7.0401
_cell_length_c 9.9399
_cell_angle_alpha 90.00
_cell_angle_beta 90.00
_cell_angle_gamma 90.00
_symmetry_space_group_name_H-M 'P 1'
_symmetry_Int_Tables_number 1
_symmetry_space_group_name_Hall 'P 1'
loop_
_atom_site_label
_atom_site_type_symbol
_atom_site_fract_x
_atom_site_fract_y
_atom_site_fract_z
Tm1 Tm 0.0005 0.7593 0.7500
Tm2 Tm 0.5000 0.2407 0.0000
Hg1 Hg 0.0000 0.5000 0.5000
Pd1 Pd 0.4993 0.0000 0.2500
Tm3 Tm 0.9995 0.7593 0.2500
Tm4 Tm 0.5000 0.2407 0.5000
Pd2 Pd 0.5012 0.5000 0.7500
Pd3 Pd 0.0000 0.0000 0.0000
Tm5 Tm 0.5000 0.7593 0.0000
Tm6 Tm 0.9995 0.2407 0.2500
Hg2 Hg 0.0000 0.5000 0.0000
Pd4 Pd 0.5007 0.0000 0.7500
Pd5 Pd 0.0000 0.0000 0.5000
Pd6 Pd 0.4988 0.5000 0.2500
Tm7 Tm 0.5000 0.7593 0.5000
Tm8 Tm 0.0005 0.2407 0.7500
# * calculated volume: 173.9 Å³/f.u.
# * space group: No. 51
# * ΔH_f (0 K): -0.8080 eV/atom



Entry 2:
# Na3CuAs, relaxed, DFT PBE-GGA
data_Na3CuAs
_chemical_formula_sum 'Na6 Cu2 As2'
_cell_length_a 6.3102
_cell_length_b 6.3102
_cell_length_c 8.7742
_cell_angle_alpha 77.88
_cell_angle_beta 126.21
_cell_angle_gamma 118.07
_symmetry_space_group_name_H-M 'P 1'
_symmetry_Int_Tables_number 1
_symmetry_space_group_name_Hall 'P 1'
loop_
_atom_site_label
_atom_site_type_symbol
_atom_site_fract_x
_atom_site_fract_y
_atom_site_fract_z
As1 As 0.5632 0.2577 0.7578
As2 As 0.5000 0.8055 0.2422
Na1 Na 0.1159 0.3235 0.3761
Na2 Na 0.0618 0.2607 0.7577
Na3 Na 0.5030 0.3041 0.2423
Na4 Na 0.9475 0.7399 0.6239
Cu1 Cu 0.5315 0.0316 0.9999
Cu2 Cu 0.0316 0.5316 0.0001
Na5 Na 0.5604 0.7593 0.7577
Na6 Na 0.0016 0.8027 0.2423
# * calculated volume: 123.8 Å³/f.u.
# * space group: No. 12
# * ΔH_f (0 K): -0.1321 eV/atom
# * distance to the lowest polymorph of the same formula: 0.000 eV per atom



Entry 3:
# Rb2NdSe2Br2, relaxed, DFT PBE-GGA
data_Rb2NdSe2Br2
_chemical_formula_sum 'Rb2 Nd1 Se2 Br2'
_cell_length_a 5.6820
_cell_length_b 5.6820
_cell_length_c 9.7921
_cell_angle_alpha 106.87
_cell_angle_beta 106.87
_cell_angle_gamma 90.00
_symmetry_space_group_name_H-M 'P 1'
_symmetry_Int_Tables_number 1
_symmetry_space_group_name_Hall 'P 1'
loop_
_atom_site_label
_atom_site_type_symbol
_atom_site_fract_x
_atom_site_fract_y
_atom_site_fract_z
Br1 Br 0.8336 0.8336 0.6671
Rb1 Rb 0.6414 0.6414 0.2828
Br2 Br 0.1664 0.1664 0.3329
Se1 Se 0.0000 0.5000 0.0000
Nd1 Nd 0.0000 0.0000 0.0000
Rb2 Rb 0.3586 0.3586 0.7172
Se2 Se 0.5000 0.0000 0.0000
# * calculated volume: 288.3 Å³/f.u.
# * formation energy without anion corrections: -1482 meV/atom
# * space group: No. 139



Entry 4:
# Dy6GeO12, relaxed, DFT PBE-GGA
data_Dy6GeO12
_chemical_formula_sum 'Dy6 Ge1 O12'
_cell_length_a 6.4378
_cell_length_b 6.4378
_cell_length_c 6.4378
_cell_angle_alpha 98.84
_cell_angle_beta 98.84
_cell_angle_gamma 98.84
_symmetry_space_group_name_H-M 'P 1'
_symmetry_Int_Tables_number 1
_symmetry_space_group_name_Hall 'P 1'
loop_
_atom_site_label
_atom_site_type_symbol
_atom_site_fract_x
_atom_site_fract_y
_atom_site_fract_z
O1 O 0.4121 0.8224 0.5579
Dy1 Dy 0.7076 0.8629 0.3906
O2 O 0.5579 0.4121 0.8224
O3 O 0.9600 0.2973 0.0652
Dy2 Dy 0.3906 0.7076 0.8629
Dy3 Dy 0.1371 0.6094 0.2924
O4 O 0.9348 0.0400 0.7027
O5 O 0.7027 0.9348 0.0400
O6 O 0.8224 0.5579 0.4121
O7 O 0.0652 0.9600 0.2973
O8 O 0.0400 0.7027 0.9348
O9 O 0.4421 0.5879 0.1776
Dy4 Dy 0.8629 0.3906 0.7076
Dy5 Dy 0.2924 0.1371 0.6094
O10 O 0.1776 0.4421 0.5879
O11 O 0.2973 0.0652 0.9600
O12 O 0.5879 0.1776 0.4421
Dy6 Dy 0.6094 0.2924 0.1371
Ge1 Ge 0.0000 0.0000 0.0000
# * calculated volume: 256.2 Å³/f.u.
# * formation energy without anion corrections: -3033 meV/atom
# * space group: No. 148